{
  "formula": "Co3AgBi5",
  "functional": "PBE-GGA",
  "state": "relaxed",
  "final_energy_ev_per_cell": -42.271,
  "lattice_angstrom": [[5.4850, 0.0000, 0.0000], [-2.7425, 4.7501, 0.0000], [0.0000, 0.0000, 8.0525]],
  "species": ["Co", "Co", "Co", "Ag", "Bi", "Bi", "Bi", "Bi", "Bi"],
  "frac_coords": [[0.0000, 0.5000, 0.0000], [0.5000, 0.0000, 0.0000], [0.5000, 0.5000, 0.0000], [0.0000, 0.0000, 0.5000], [0.0000, 0.0000, 0.0000], [0.3333, 0.6667, 0.2758], [0.3333, 0.6667, 0.7242], [0.6667, 0.3333, 0.2758], [0.6667, 0.3333, 0.7242]]
}